Material: Hg4Sb2I2Cl
Method: DFT, PBE-GGA
State: relaxed

Cell lengths 4.215, 9.206, 11.754 Å; angles 130.73, 90.00, 103.23 degrees
Fractional positions:
Hg: 0.759 0.517 0.724
Hg: 0.241 0.483 0.276
Hg: 0.473 0.946 0.173
Hg: 0.527 0.054 0.827
Sb: 0.268 0.537 0.936
Sb: 0.732 0.463 0.064
I: 0.895 0.789 0.591
I: 0.105 0.211 0.409
Cl: 0.000 0.000 0.000

Results
V, Å³ per atom: 36.6
Total magnetization, μB/f.u.: 0.0
Formation energy (no corrections), eV/f.u.: -1.3